This record from Alexandria describes a relaxed YHo4Rh4 crystal. The functional is GGA-PBE.

Cell lengths 5.5999, 8.7818, 8.7818 Å; angles 90.00, 90.00, 90.00 degrees
Closest atoms and distances in Å follow each position.
Fractional coordinates of all 18 atoms:
Y 0.0000 0.0000 0.0000  4 Rh 2.74
Y 0.5000 0.5000 0.5000  4 Rh 2.74
Ho 0.4076 0.3206 0.9115  5 Rh 2.76-2.92
Ho 0.9076 0.5885 0.8206  5 Rh 2.76-2.92
Ho 0.4076 0.6794 0.0885  5 Rh 2.76-2.92
Ho 0.0924 0.1794 0.5885  5 Rh 2.76-2.92
Ho 0.5924 0.9115 0.6794  5 Rh 2.76-2.92
Ho 0.0924 0.8206 0.4115  5 Rh 2.76-2.92
Ho 0.9076 0.4115 0.1794  5 Rh 2.76-2.92
Ho 0.5924 0.0885 0.3206  5 Rh 2.76-2.92
Rh 0.5946 0.7793 0.3745  1 Y 2.74, 5 Ho 2.76-2.92, 1 Rh 2.84
Rh 0.5946 0.2207 0.6255  1 Y 2.74, 5 Ho 2.76-2.92, 1 Rh 2.84
Rh 0.0946 0.8745 0.7207  1 Y 2.74, 5 Ho 2.76-2.92, 1 Rh 2.84
Rh 0.9054 0.2793 0.8745  1 Y 2.74, 5 Ho 2.76-2.92, 1 Rh 2.84
Rh 0.9054 0.7207 0.1255  1 Y 2.74, 5 Ho 2.76-2.92, 1 Rh 2.84
Rh 0.4054 0.3745 0.2207  1 Y 2.74, 5 Ho 2.76-2.92, 1 Rh 2.84
Rh 0.4054 0.6255 0.7793  1 Y 2.74, 5 Ho 2.76-2.92, 1 Rh 2.84
Rh 0.0946 0.1255 0.2793  1 Y 2.74, 5 Ho 2.76-2.92, 1 Rh 2.84

Output
total DFT energy (no corrections) = -6.69 eV/atom
energy relative to the elements = -670 meV/atom


This record from Alexandria describes a relaxed NiPb crystal. The functional is GGA-PBE.

Cell lengths 5.3574, 5.3574, 5.5486 Å; angles 90.00, 90.00, 90.00 degrees
Closest atoms and distances in Å follow each position.
Fractional coordinates of all 8 atoms:
Ni 0.2969 0.7031 0.0000  6 Pb 2.66-2.78
Ni 0.7969 0.7969 0.5000  6 Pb 2.66-2.78
Ni 0.2031 0.2031 0.5000  6 Pb 2.66-2.78
Ni 0.7031 0.2969 0.0000  6 Pb 2.66-2.78
Pb 0.2135 0.2135 0.0000  6 Ni 2.66-2.78
Pb 0.7135 0.2865 0.5000  6 Ni 2.66-2.78
Pb 0.2865 0.7135 0.5000  6 Ni 2.66-2.78
Pb 0.7865 0.7865 0.0000  6 Ni 2.66-2.78

Output
total DFT energy (no corrections) = -4.42 eV/atom
energy relative to the elements = 324 meV/atom


This record from Alexandria describes a relaxed HoRuPb crystal. The functional is GGA-PBE.

Cell lengths 3.3704, 3.3704, 6.2963 Å; angles 105.52, 105.52, 90.00 degrees
Closest atoms and distances in Å follow each position.
Fractional coordinates of all 3 atoms:
Pb 0.6412 0.6412 0.2824  4 Ru 2.89
Ru 0.2811 0.2811 0.5622  4 Pb 2.89, 4 Ho 2.93
Ho 0.9277 0.9277 0.8554  4 Ru 2.93

Output
total DFT energy (no corrections) = -6.01 eV/atom
energy relative to the elements = -159 meV/atom


This record from Alexandria describes a relaxed Rb2SeN crystal. The functional is GGA-PBE.

Cell lengths 11.8629, 11.8629, 8.6304 Å; angles 46.59, 46.59, 90.00 degrees
Closest atoms and distances in Å follow each position.
Fractional coordinates of all 8 atoms:
Se 0.0000 0.0000 0.0000  2 N 2.03
Se 0.7500 0.2500 0.5000  2 N 2.03
Rb 0.3891 0.1250 0.2500  2 N 3.01, 2 Se 3.34
Rb 0.3609 0.6250 0.2500  2 N 3.01, 2 Se 3.34
Rb 0.3750 0.6109 0.7500  2 N 3.01, 2 Se 3.34
Rb 0.8750 0.6391 0.7500  2 N 3.01, 2 Se 3.34
N 0.5000 0.5000 0.0000  2 Se 2.03
N 0.2500 0.7500 0.5000  2 Se 2.03

Output
energy above the lowest structure with this stoichiometry = 0 kJ/mol of formula units
formation energy from raw total energies = 0.18 eV per atom
total DFT energy (no corrections) = -3.25 eV/atom